Below is a relaxed Ba3AlBi crystal, with properties calculated at the GGA-PBEsol level.

Output
For the energy relative to the elements, the calculation gives -5.4 kJ per mole of atoms. The space group is No. 221.

Lattice parameters (Å, degrees): 6.216 6.216 6.216 90.00 90.00 90.00
Sites, in units of the cell vectors:
Ba 0.000 0.500 0.000
Ba 0.000 0.000 0.500
Ba 0.500 0.000 0.000
Bi 0.500 0.500 0.500
Al 0.000 0.000 0.000

=====

Below is a relaxed ReTcCl2 crystal, with properties calculated at the GGA-PBEsol level.

Output
As for the distance to the lowest polymorph of the same formula: 0 meV/atom. Its uncorrected formation energy is -0.178 eV per atom. The space group is No. 25.

Lattice parameters (Å, degrees): 2.914 3.053 8.204 90.00 90.00 90.00
Sites, in units of the cell vectors:
Tc 0.500 0.500 0.717
Re 0.000 0.000 0.533
Cl 0.500 0.000 0.304
Cl 0.000 0.500 0.945

=====

Below is a relaxed RbTaMnPt2 crystal, with properties calculated at the GGA-PBEsol level.

Output
For the energy relative to the elements, the calculation gives 80.6 kJ per mole of atoms. The space group is No. 123.

Lattice parameters (Å, degrees): 4.964 4.964 4.905 90.00 90.00 90.00
Sites, in units of the cell vectors:
Pt 0.000 0.500 0.000
Pt 0.500 0.000 0.000
Ta 0.000 0.000 0.000
Rb 0.500 0.500 0.500
Mn 0.000 0.000 0.500